No. 1
Computed, not measured: a geometry-optimized K2NpRu3O12 structure at the PBE level of DFT.

The calculation puts the raw total energy at -7.18 eV per atom. The total magnetization comes out at 0.20 μB per formula unit. The calculation puts the density of states at the Fermi level at 9.83 states/eV/f.u.

The space group is R-3m (No. 166, hexagonal axes) and the conventional cell measures 7.2142, 7.2142 and 18.5963 Å, with angles of 90.00, 90.00 and 120.00 degrees. Symmetry generates all atoms from K at (0.0000, 0.0000, 0.1190), Np at (0.0000, 0.0000, 0.5000), Ru at (0.0000, 0.5000, 0.0000), O at (0.0626, 0.5313, 0.1059) and O at (0.0797, 0.5398, 0.3464).

***

No. 2
Computed, not measured: a geometry-optimized TaTiH2 structure at the PBE level of DFT.

The excess energy over the best structure of this formula in the dataset is 1.039 eV/f.u. The calculation puts the raw total energy at -6.63 eV per atom. The total magnetization comes out at 0.00 μB per formula unit. The calculation puts the density of states at the Fermi level at 2.46 states/eV/f.u.

The space group is R3m (No. 160, hexagonal axes) and the conventional cell measures 2.9118, 2.9118 and 16.0282 Å, with angles of 90.00, 90.00 and 120.00 degrees. Symmetry generates all atoms from Ta at (0.0000, 0.0000, 0.0000), Ti at (0.0000, 0.0000, 0.8285), H at (0.0000, 0.0000, 0.2453) and H at (0.0000, 0.0000, 0.4185).

***

No. 3
Computed, not measured: a geometry-optimized Nd2Dy2Y2Ho structure at the PBE level of DFT.

The calculation puts the raw total energy at -5.03 eV per atom. The calculated formation energy is 1.03 eV per formula unit. The total magnetization comes out at 0.00 μB per formula unit. The calculation puts the density of states at the Fermi level at 12.63 states/eV/f.u.

The space group is C2/m (No. 12) and the conventional cell measures 17.752, 3.506 and 8.507 Å, with angles of 90.00, 117.09 and 90.00 degrees. Symmetry generates all atoms from Nd at (0.148, 0.000, 0.388), Dy at (0.211, 0.500, 0.799), Y at (0.070, 0.000, 0.905) and Ho at (0.000, 0.500, 0.500).

***

No. 4
Computed, not measured: a geometry-optimized LiTl2Si structure at the PBE level of DFT.

The excess energy over the best structure of this formula in the dataset is 0.126 eV/f.u. The calculation puts the raw total energy at -2.84 eV per atom. The total magnetization comes out at 0.00 μB per formula unit. The calculation puts the density of states at the Fermi level at 1.35 states/eV/f.u.

The space group is Pmmm (No. 47) and the conventional cell measures 3.977, 4.660 and 4.876 Å, with angles of 90.00, 90.00 and 90.00 degrees. Symmetry generates all atoms from Li at (0.000, 0.000, 0.000), Tl at (0.500, 0.000, 0.500), Tl at (0.500, 0.500, 0.000) and Si at (0.000, 0.500, 0.500).

***

No. 5
Computed, not measured: a geometry-optimized Ta10V4W structure at the PBE level of DFT.

The calculation puts the raw total energy at -10.48 eV per atom. The calculated formation energy is 10.74 eV per formula unit. The total magnetization comes out at 0.00 μB per formula unit. The calculation puts the density of states at the Fermi level at 16.29 states/eV/f.u.

The space group is I4/m (No. 87) and the conventional cell measures 9.698, 9.698 and 6.170 Å, with angles of 90.00, 90.00 and 90.00 degrees. Symmetry generates all atoms from Ta at (0.000, 0.500, 0.250), Ta at (0.101, 0.796, 0.247), V at (0.100, 0.300, 0.000) and W at (0.000, 0.000, 0.500).

***

No. 6
Computed, not measured: a geometry-optimized SrMo2W structure at the PBE level of DFT.

The excess energy over the best structure of this formula in the dataset is 1.841 eV/f.u. The calculation puts the raw total energy at -7.91 eV per atom. The calculated formation energy is 4.65 eV per formula unit. The total magnetization comes out at 0.00 μB per formula unit. The calculation puts the density of states at the Fermi level at 5.04 states/eV/f.u.

The space group is I-4m2 (No. 119) and the conventional cell measures 4.724, 4.724 and 6.666 Å, with angles of 90.00, 90.00 and 90.00 degrees. Symmetry generates all atoms from Sr at (0.000, 0.000, 0.000), Mo at (0.000, 0.000, 0.500), Mo at (0.000, 0.500, 0.250) and W at (0.000, 0.500, 0.750).

***

No. 7
Computed, not measured: a geometry-optimized HfZn2Cl structure at the PBE level of DFT.

The excess energy over the best structure of this formula in the dataset is 1.462 eV/f.u. The calculation puts the raw total energy at -3.14 eV per atom. The total magnetization comes out at 0.00 μB per formula unit. The calculation puts the density of states at the Fermi level at 5.59 states/eV/f.u.

The space group is Fm-3m (No. 225) and the conventional cell measures 6.840, 6.840 and 6.840 Å, with angles of 90.00, 90.00 and 90.00 degrees. Symmetry generates all atoms from Hf at (0.000, 0.000, 0.000), Zn at (0.250, 0.250, 0.250) and Cl at (0.000, 0.000, 0.500).

***

No. 8
Computed, not measured: a geometry-optimized CrAu2 structure at the PBE level of DFT.

The calculation puts the raw total energy at -5.27 eV per atom. The calculated formation energy is 0.37 eV per formula unit. The total magnetization comes out at 4.16 μB per formula unit. The calculation puts the density of states at the Fermi level at 1.89 states/eV/f.u.

The space group is C2/m (No. 12) and the conventional cell measures 8.702, 4.307 and 5.693 Å, with angles of 90.00, 101.68 and 90.00 degrees. Symmetry generates all atoms from Cr at (0.160, 0.000, 0.315), Au at (0.000, 0.500, 0.000), Au at (0.000, 0.500, 0.500) and Au at (0.171, 0.000, 0.810).

***

No. 9
Computed, not measured: a geometry-optimized Sr2TiIr structure at the PBE level of DFT.

The excess energy over the best structure of this formula in the dataset is 0.000 eV/f.u. The calculation puts the raw total energy at -4.85 eV per atom. The calculated formation energy is 0.73 eV per formula unit. The total magnetization comes out at 0.87 μB per formula unit. The calculation puts the density of states at the Fermi level at 5.59 states/eV/f.u.

The space group is I-42d (No. 122) and the conventional cell measures 11.371, 11.371 and 4.719 Å, with angles of 90.00, 90.00 and 90.00 degrees. Symmetry generates all atoms from Sr at (0.084, 0.250, 0.125), Ti at (0.000, 0.000, 0.500) and Ir at (0.000, 0.000, 0.000).

***

No. 10
Computed, not measured: a geometry-optimized PrMn2Si2 structure at the PBE level of DFT.

The calculation puts the raw total energy at -7.34 eV per atom. The total magnetization comes out at 3.64 μB per formula unit. The calculation puts the density of states at the Fermi level at 3.10 states/eV/f.u.

The space group is I4/mmm (No. 139) and the conventional cell measures 3.980, 3.980 and 10.563 Å, with angles of 90.00, 90.00 and 90.00 degrees. Symmetry generates all atoms from Pr at (0.000, 0.000, 0.000), Mn at (0.000, 0.500, 0.250) and Si at (0.000, 0.000, 0.374).

***

No. 11
Computed, not measured: a geometry-optimized V2RePt2 structure at the PBE level of DFT.

The excess energy over the best structure of this formula in the dataset is 0.897 eV/f.u. The calculation puts the raw total energy at -8.55 eV per atom. The calculated formation energy is 0.01 eV per formula unit. The total magnetization comes out at 0.34 μB per formula unit. The calculation puts the density of states at the Fermi level at 4.83 states/eV/f.u.

The space group is P4/mbm (No. 127) and the conventional cell measures 6.600, 6.600 and 3.471 Å, with angles of 90.00, 90.00 and 90.00 degrees. Symmetry generates all atoms from V at (0.144, 0.356, 0.000), Re at (0.000, 0.000, 0.000) and Pt at (0.156, 0.656, 0.500).

***

No. 12
Computed, not measured: a geometry-optimized BaY2Nb2 structure at the PBE level of DFT.

The excess energy over the best structure of this formula in the dataset is 0.000 eV/f.u. The calculation puts the raw total energy at -6.54 eV per atom. The calculated formation energy is 2.30 eV per formula unit. The total magnetization comes out at 0.00 μB per formula unit. The calculation puts the density of states at the Fermi level at 7.88 states/eV/f.u.

The space group is P4/mbm (No. 127) and the conventional cell measures 9.045, 9.045 and 3.555 Å, with angles of 90.00, 90.00 and 90.00 degrees. Symmetry generates all atoms from Ba at (0.000, 0.000, 0.000), Y at (0.187, 0.313, 0.500) and Nb at (0.096, 0.596, 0.000).

***

Which of these has the lowest raw total energy? Ta10V4W